[1]
Compound: Sm5HoErSc2
Source: the Alexandria database
Functional: PBE-GGA
Structure: optimized geometry

```
18
Lattice="2.824 -10.823 0.000 2.824 10.823 0.000 0.000 0.000 9.417" Properties=species:S:1:pos:R:3 pbc="T T T"
Sm 2.824 10.554 4.708
Sm 2.824 5.064 7.730
Sm 2.824 4.235 1.971
Sm 2.824 2.345 5.075
Sm 2.824 0.697 2.259
Sm 2.824 -0.697 6.968
Sm 2.824 -2.345 0.367
Sm 2.824 -4.235 6.680
Sm 2.824 -5.064 3.021
Sm 2.824 -10.554 0.000
Ho 2.824 6.851 4.798
Ho 2.824 -6.851 0.090
Er 2.824 2.150 8.595
Er 2.824 -2.150 3.886
Sc 2.824 8.355 7.710
Sc 2.824 7.957 1.862
Sc 2.824 -7.957 6.570
Sc 2.824 -8.355 3.002
```

Summary:
The total magnetization is 0.00 μB/f.u. The crystal system is orthorhombic. Its energy of formation is 164 meV per atom.

***

[2]
Compound: SmHo2Er5Sc
Source: the Alexandria database
Functional: PBE-GGA
Structure: optimized geometry

```
18
Lattice="2.757 -9.796 0.000 2.757 9.796 0.000 0.000 0.000 10.318" Properties=species:S:1:pos:R:3 pbc="T T T"
Sm 2.757 8.083 5.159
Sm 2.757 -8.083 0.000
Ho 2.757 2.224 8.064
Ho 2.757 2.180 3.720
Ho 2.757 -2.180 8.879
Ho 2.757 -2.224 2.905
Er 2.757 9.417 8.096
Er 2.757 7.406 0.689
Er 2.757 5.854 7.757
Er 2.757 5.425 3.786
Er 2.757 0.361 0.681
Er 2.757 -0.361 5.841
Er 2.757 -5.425 8.945
Er 2.757 -5.854 2.598
Er 2.757 -7.406 5.848
Er 2.757 -9.417 2.936
Sc 2.757 3.848 0.622
Sc 2.757 -3.848 5.782
```

Summary:
The total magnetization is 0.00 μB/f.u. The crystal system is orthorhombic. Its energy of formation is 172 meV per atom.

***

[3]
Compound: SmHo3ErSc
Source: the Alexandria database
Functional: PBE-GGA
Structure: optimized geometry

```
12
Lattice="2.469 -7.408 0.000 2.469 7.408 0.000 0.000 0.000 9.909" Properties=species:S:1:pos:R:3 pbc="T T T"
Sm 2.469 7.372 7.432
Sm 2.469 -7.372 2.477
Ho 2.469 4.925 9.906
Ho 2.469 4.925 4.958
Ho 2.469 2.507 7.432
Ho 2.469 -2.507 2.477
Ho 2.469 -4.925 0.003
Ho 2.469 -4.925 4.951
Er 2.469 0.000 0.000
Er 2.469 0.000 4.954
Sc 2.469 2.489 2.477
Sc 2.469 -2.489 7.432
```

Summary:
The total magnetization is 0.00 μB/f.u. The crystal system is orthorhombic. Its energy of formation is 37 meV per atom.

***

[4]
Compound: Sm2HoEr2Sc2
Source: the Alexandria database
Functional: PBE-GGA
Structure: optimized geometry

```
7
Lattice="5.664 -1.708 0.000 5.664 1.708 0.000 -3.706 0.000 10.911" Properties=species:S:1:pos:R:3 pbc="T T T"
Sm 1.616 0.000 0.971
Sm 6.005 0.000 9.940
Ho 3.810 0.000 5.455
Er -2.318 0.000 8.370
Er 9.939 0.000 2.541
Sc 0.737 0.000 6.888
Sc 6.884 0.000 4.023
```

Summary:
The total magnetization is 0.00 μB/f.u. The crystal system is monoclinic. Its energy of formation is 108 meV per atom.

***

[5]
Compound: Sm2Ho3Er6Sc
Source: the Alexandria database
Functional: PBE-GGA
Structure: optimized geometry

```
12
Lattice="3.039 -5.259 0.000 3.039 5.259 0.000 -2.019 0.000 11.470" Properties=species:S:1:pos:R:3 pbc="T T T"
Sm 3.039 3.509 0.000
Sm 3.039 -3.509 0.000
Ho -1.010 0.000 5.735
Ho 2.029 1.750 5.735
Ho 2.029 -1.750 5.735
Er 0.014 1.739 8.605
Er 1.029 0.000 2.870
Er 0.014 -1.739 8.605
Er 4.043 1.739 2.865
Er 3.029 0.000 8.600
Er 4.043 -1.739 2.865
Sc 3.039 0.000 0.000
```

Summary:
The total magnetization is 0.00 μB/f.u. The crystal system is monoclinic. Its energy of formation is 27 meV per atom.

***

[6]
Compound: SmHo2ErSc
Source: the Alexandria database
Functional: PBE-GGA
Structure: optimized geometry

```
10
Lattice="4.074 -5.590 0.000 4.074 5.590 0.000 0.000 0.000 7.062" Properties=species:S:1:pos:R:3 pbc="T T T"
Sm 4.074 3.015 5.296
Sm 4.074 -3.015 1.765
Ho 1.606 0.000 0.000
Ho 1.606 0.000 3.531
Ho 6.543 0.000 0.000
Ho 6.543 0.000 3.531
Er 4.074 2.996 1.765
Er 4.074 -2.996 5.296
Sc 4.074 0.042 5.296
Sc 4.074 -0.042 1.765
```

Summary:
The total magnetization is 0.00 μB/f.u. The crystal system is orthorhombic. Its energy of formation is 344 meV per atom.

***

[7]
Compound: Sm6HoErSc2
Source: the Alexandria database
Functional: PBE-GGA
Structure: optimized geometry

```
20
Lattice="4.511 -7.469 0.000 4.511 7.469 0.000 -1.312 0.000 9.378" Properties=species:S:1:pos:R:3 pbc="T T T"
Sm 2.351 4.085 1.712
Sm 3.217 4.847 5.182
Sm 3.838 4.847 8.885
Sm 3.122 1.544 3.579
Sm 6.015 4.085 2.977
Sm 5.245 1.544 1.110
Sm 2.466 -1.544 8.267
Sm 1.695 -4.085 6.401
Sm 4.589 -1.544 5.799
Sm 3.873 -4.847 0.493
Sm 4.494 -4.847 4.196
Sm 5.359 -4.085 7.666
Ho 3.527 1.377 7.033
Ho 4.183 -1.377 2.344
Er 4.183 7.051 2.344
Er 3.527 -7.051 7.033
Sc 2.170 0.747 0.446
Sc 1.514 -0.747 5.135
Sc 6.196 0.747 4.243
Sc 5.540 -0.747 8.932
```

Summary:
The total magnetization is 0.00 μB/f.u. The crystal system is monoclinic. Its energy of formation is 126 meV per atom.

***

[8]
Compound: Sm2HoEr2Sc
Source: the Alexandria database
Functional: PBE-GGA
Structure: optimized geometry

```
12
Lattice="5.579 0.000 0.000 0.000 10.755 0.000 0.000 0.000 6.201" Properties=species:S:1:pos:R:3 pbc="T T T"
Sm 0.000 0.893 0.000
Sm 0.000 9.862 3.100
Sm 2.790 2.767 1.031
Sm 2.790 7.988 4.132
Ho 0.000 2.753 3.128
Ho 0.000 8.002 0.028
Er 0.000 4.539 6.154
Er 0.000 6.216 3.054
Er 2.790 0.944 4.126
Er 2.790 9.811 1.025
Sc 2.790 4.515 4.122
Sc 2.790 6.240 1.021
```

Summary:
The total magnetization is 0.05 μB/f.u. The crystal system is orthorhombic. Its energy of formation is 30 meV per atom.

***

[9]
Compound: Sm2HoEr6Sc3
Source: the Alexandria database
Functional: PBE-GGA
Structure: optimized geometry

```
12
Lattice="3.014 -5.218 0.000 3.014 5.218 0.000 -2.006 0.000 11.264" Properties=species:S:1:pos:R:3 pbc="T T T"
Sm 3.014 3.478 0.000
Sm 3.014 -3.478 0.000
Ho 3.014 0.000 0.000
Er 0.002 1.738 8.332
Er 1.008 0.000 2.932
Er 0.002 -1.738 8.332
Er 4.019 1.738 2.932
Er 3.013 0.000 8.333
Er 4.019 -1.738 2.932
Sc -1.003 0.000 5.632
Sc 2.011 1.736 5.632
Sc 2.011 -1.736 5.632
```

Summary:
The total magnetization is 0.00 μB/f.u. The crystal system is monoclinic. Its energy of formation is 44 meV per atom.

***

[10]
Compound: Sm2HoEr5Sc
Source: the Alexandria database
Functional: PBE-GGA
Structure: optimized geometry

```
18
Lattice="-4.232 4.232 7.757 4.232 -4.232 7.757 4.232 4.232 -7.757" Properties=species:S:1:pos:R:3 pbc="T T T"
Sm 5.240 1.009 0.000
Sm 1.009 3.223 0.000
Sm 3.223 1.009 7.757
Sm -1.009 3.223 7.757
Ho 0.000 0.000 3.878
Ho 0.000 0.000 11.635
Er 0.000 0.000 0.000
Er 2.464 1.767 -2.205
Er 2.464 -1.767 5.551
Er 2.464 1.767 2.205
Er 2.464 -1.767 9.962
Er 0.000 0.000 7.757
Er 1.767 5.999 -2.205
Er 1.767 2.464 5.551
Er 1.767 5.999 2.205
Er 1.767 2.464 9.962
Sc 4.232 0.000 3.878
Sc 0.000 4.232 3.878
```

Summary:
The total magnetization is 0.00 μB/f.u. The crystal system is tetragonal. Its energy of formation is 284 meV per atom.

***

[11]
Compound: Sm6HoEr3Sc2
Source: the Alexandria database
Functional: PBE-GGA
Structure: optimized geometry

```
12
Lattice="3.068 -5.311 0.000 3.068 5.311 0.000 -2.038 0.000 11.385" Properties=species:S:1:pos:R:3 pbc="T T T"
Sm -0.006 1.785 8.593
Sm 1.010 0.000 2.794
Sm -0.006 -1.785 8.593
Sm 4.104 1.785 2.792
Sm 3.087 0.000 8.591
Sm 4.104 -1.785 2.792
Ho 3.068 0.000 0.000
Er -1.019 0.000 5.692
Er 2.049 1.772 5.692
Er 2.049 -1.772 5.692
Sc 3.068 3.542 0.000
Sc 3.068 -3.542 0.000
```

Summary:
The total magnetization is 0.00 μB/f.u. The crystal system is monoclinic. Its energy of formation is 35 meV per atom.

***

[12]
Compound: Sm2HoErSc
Source: the Alexandria database
Functional: PBE-GGA
Structure: optimized geometry

```
10
Lattice="3.192 -7.915 0.000 3.192 7.915 0.000 0.000 0.000 6.389" Properties=species:S:1:pos:R:3 pbc="T T T"
Sm 1.588 0.000 0.000
Sm 1.588 0.000 3.194
Sm 4.796 0.000 0.000
Sm 4.796 0.000 3.194
Ho 3.192 2.539 4.791
Ho 3.192 -2.539 1.597
Er 3.192 3.952 1.597
Er 3.192 -3.952 4.791
Sc 3.192 5.461 4.791
Sc 3.192 -5.461 1.597
```

Summary:
The total magnetization is 0.00 μB/f.u. The crystal system is orthorhombic. Its energy of formation is 385 meV per atom.

***

[13]
Compound: Sm3Ho2Er6Sc
Source: the Alexandria database
Functional: PBE-GGA
Structure: optimized geometry

```
12
Lattice="3.052 -5.282 0.000 3.052 5.282 0.000 -2.030 0.000 11.470" Properties=species:S:1:pos:R:3 pbc="T T T"
Sm 0.000 0.000 0.000
Sm 3.052 1.759 0.000
Sm 3.052 -1.759 0.000
Ho 2.036 3.522 5.735
Ho 2.036 -3.522 5.735
Er 1.027 1.748 2.924
Er 0.015 0.000 8.547
Er 1.027 -1.748 2.924
Er 3.045 1.748 8.546
Er 4.058 0.000 2.922
Er 3.045 -1.748 8.546
Sc 2.036 0.000 5.735
```

Summary:
The total magnetization is 0.00 μB/f.u. The crystal system is monoclinic. Its energy of formation is 30 meV per atom.

***

[14]
Compound: SmHo2ErSc4
Source: the Alexandria database
Functional: PBE-GGA
Structure: optimized geometry

```
8
Lattice="4.885 0.000 0.000 0.000 4.885 0.000 0.000 0.000 9.329" Properties=species:S:1:pos:R:3 pbc="T T T"
Sm 0.000 0.000 0.000
Ho 0.000 0.000 4.664
Ho 2.443 2.443 0.000
Er 2.443 2.443 4.664
Sc 0.000 2.443 2.347
Sc 0.000 2.443 6.982
Sc 2.443 0.000 2.347
Sc 2.443 0.000 6.982
```

Summary:
The total magnetization is 0.00 μB/f.u. The crystal system is tetragonal. Its energy of formation is 53 meV per atom.

***

[15]
Compound: Sm4Ho2ErSc
Source: the Alexandria database
Functional: PBE-GGA
Structure: optimized geometry

```
8
Lattice="5.042 0.000 0.000 0.000 5.042 0.000 0.000 0.000 9.874" Properties=species:S:1:pos:R:3 pbc="T T T"
Sm 0.000 2.521 2.423
Sm 0.000 2.521 7.451
Sm 2.521 0.000 2.423
Sm 2.521 0.000 7.451
Ho 0.000 0.000 0.000
Ho 2.521 2.521 4.937
Er 0.000 0.000 4.937
Sc 2.521 2.521 0.000
```

Summary:
The total magnetization is 0.00 μB/f.u. The crystal system is tetragonal. Its energy of formation is 29 meV per atom.

***

[16]
Compound: Sm2Ho2ErSc
Source: the Alexandria database
Functional: PBE-GGA
Structure: optimized geometry

```
12
Lattice="6.836 0.000 0.000 0.000 5.560 0.000 0.000 0.000 9.616" Properties=species:S:1:pos:R:3 pbc="T T T"
Sm 0.000 0.000 0.000
Sm 1.709 2.780 1.783
Sm 3.418 0.000 0.000
Sm 5.127 2.780 7.833
Ho 1.709 0.000 3.188
Ho 1.709 2.780 8.047
Ho 5.127 0.000 6.428
Ho 5.127 2.780 1.569
Er 1.709 0.000 6.283
Er 5.127 0.000 3.333
Sc 0.000 2.780 4.808
Sc 3.418 2.780 4.808
```

Summary:
The total magnetization is 0.00 μB/f.u. The crystal system is orthorhombic. Its energy of formation is 96 meV per atom.

***

[17]
Compound: Sm4HoEr2Sc
Source: the Alexandria database
Functional: PBE-GGA
Structure: optimized geometry

```
8
Lattice="6.137 0.000 0.000 0.000 3.554 0.000 -2.071 0.000 11.457" Properties=species:S:1:pos:R:3 pbc="T T T"
Sm 1.005 0.000 2.795
Sm -0.023 1.777 8.619
Sm 4.089 1.777 2.838
Sm 3.062 0.000 8.662
Ho -1.035 0.000 5.728
Er 3.069 0.000 0.000
Er 2.033 1.777 5.728
Sc 0.000 1.777 0.000
```

Summary:
The total magnetization is 0.00 μB/f.u. The crystal system is monoclinic. Its energy of formation is 33 meV per atom.

***

[18]
Compound: Sm2HoEr6Sc
Source: the Alexandria database
Functional: PBE-GGA
Structure: optimized geometry

```
20
Lattice="4.470 -7.366 0.000 4.470 7.366 0.000 -1.430 0.000 9.383" Properties=species:S:1:pos:R:3 pbc="T T T"
Sm 2.160 0.750 0.429
Sm 1.445 -0.750 5.120
Sm 6.066 0.750 4.262
Sm 5.351 -0.750 8.954
Ho 4.113 7.091 2.346
Ho 3.398 -7.091 7.037
Er 2.331 4.118 1.785
Er 3.106 4.563 5.230
Er 3.690 4.563 8.844
Er 3.021 1.546 3.595
Er 5.894 4.118 2.907
Er 5.205 1.546 1.096
Er 2.306 -1.546 8.286
Er 1.617 -4.118 6.476
Er 4.490 -1.546 5.788
Er 3.821 -4.563 0.539
Er 4.405 -4.563 4.152
Er 5.179 -4.118 7.598
Sc 3.398 1.325 7.037
Sc 4.113 -1.325 2.346
```

Summary:
The total magnetization is 0.00 μB/f.u. The crystal system is monoclinic. Its energy of formation is 124 meV per atom.

***

[19]
Compound: Sm6HoEr2Sc
Source: the Alexandria database
Functional: PBE-GGA
Structure: optimized geometry

```
20
Lattice="4.584 -7.542 0.000 4.584 7.542 0.000 -1.093 0.000 9.317" Properties=species:S:1:pos:R:3 pbc="T T T"
Sm 1.145 3.294 7.519
Sm 3.460 4.842 5.146
Sm 4.068 4.842 8.830
Sm 3.253 1.661 3.596
Sm 1.691 -3.294 2.860
Sm 5.368 1.661 1.062
Sm 2.707 -1.661 8.255
Sm 6.384 3.294 6.457
Sm 4.822 -1.661 5.721
Sm 4.007 -4.842 0.487
Sm 4.615 -4.842 4.172
Sm 6.930 -3.294 1.798
Ho 4.311 7.155 2.329
Ho 3.764 -7.155 6.988
Er 2.275 0.752 0.447
Er 1.728 -0.752 5.105
Er 6.347 0.752 4.212
Er 5.800 -0.752 8.871
Sc 3.764 1.235 6.988
Sc 4.311 -1.235 2.329
```

Summary:
The total magnetization is 0.00 μB/f.u. The crystal system is monoclinic. Its energy of formation is 129 meV per atom.